{
  "formula": "Ce2SmTmSb5",
  "functional": "PBE",
  "state": "optimized geometry",
  "lattice_angstrom": [[5.390, 0.000, 0.000], [0.000, 5.390, 0.000], [0.000, 0.000, 11.555]],
  "species": ["Tm", "Sm", "Sb", "Sb", "Sb", "Ce", "Ce", "Sb", "Sb"],
  "frac_coords": [[0.000, 0.000, 0.000], [0.000, 0.000, 0.500], [0.000, 0.500, 0.500], [0.000, 0.000, 0.756], [0.500, 0.000, 0.500], [0.500, 0.500, 0.287], [0.500, 0.500, 0.713], [0.000, 0.000, 0.244], [0.500, 0.500, 0.000]],
  "final_energy_ev_per_cell": -43.346,
  "e_form_raw_mev_per_atom": -186,
  "magnetic_moment_mub_per_atom": 0.2023
}

---

{
  "formula": "SrTi3Ru",
  "functional": "PBE",
  "state": "optimized geometry",
  "lattice_angstrom": [[4.863, 0.000, 0.000], [0.000, 4.863, 0.000], [0.000, 0.000, 4.863]],
  "species": ["Sr", "Ru", "Ti", "Ti", "Ti"],
  "frac_coords": [[0.500, 0.500, 0.500], [0.000, 0.000, 0.000], [0.000, 0.000, 0.500], [0.000, 0.500, 0.000], [0.500, 0.000, 0.000]],
  "final_energy_ev_per_cell": -33.245,
  "magnetic_moment_mub_per_atom": 0.0000,
  "relative_energy_ev_per_atom": 0.000,
  "e_form_ev_per_fu": 1.397
}

---

{
  "formula": "Tb2HoAg2",
  "functional": "PBE",
  "state": "optimized geometry",
  "lattice_angstrom": [[3.613, 0.000, -0.483], [0.000, 5.240, 0.000], [-0.020, 0.000, 13.560]],
  "species": ["Ho", "Tb", "Ag", "Ho", "Tb", "Ag", "Ag", "Tb", "Ag", "Tb"],
  "frac_coords": [[0.854, 0.750, 0.709], [0.765, 0.250, 0.531], [0.451, 0.750, 0.903], [0.146, 0.250, 0.291], [0.235, 0.750, 0.469], [0.643, 0.750, 0.284], [0.357, 0.250, 0.716], [0.952, 0.250, 0.905], [0.549, 0.250, 0.097], [0.048, 0.750, 0.095]],
  "final_energy_ev_per_cell": -41.429,
  "magnetic_moment_mub_per_atom": 0.0000,
  "relative_energy_ev_per_atom": 0.000,
  "e_form_ev_per_fu": -1.174
}

---

{
  "formula": "CdInSb",
  "functional": "PBE",
  "state": "optimized geometry",
  "lattice_angstrom": [[-4.285, -0.377, -0.619], [2.715, -1.935, -5.326], [1.646, -4.886, 4.632]],
  "species": ["Cd", "In", "Sb", "Sb", "Cd", "In"],
  "frac_coords": [[0.655, 0.408, 0.844], [0.353, 0.396, 0.209], [0.235, 0.860, 0.170], [0.039, 0.484, 0.552], [0.948, 0.968, 0.521], [0.614, 0.935, 0.875]],
  "final_energy_ev_per_cell": -15.389,
  "e_form_raw_mev_per_atom": 27,
  "magnetic_moment_mub_per_atom": 0.0000
}